[1]
The following is a DFT calculation (PBE) of a relaxed structure of Al2V8W.

Cell and atoms, written as CIF:
```
data_Al2V8W
_space_group_name_H-M_alt 'P 4/m m m'
_space_group_IT_number 123
_space_group_name_Hall '-P 4 2'
_cell_length_a 4.118
_cell_length_b 4.118
_cell_length_c 9.603
_cell_angle_alpha 90.00
_cell_angle_beta 90.00
_cell_angle_gamma 90.00
loop_
_atom_site_label
_atom_site_fract_x
_atom_site_fract_y
_atom_site_fract_z
Al1 0.000 0.000 0.174
V1 0.000 0.500 0.000
V2 0.000 0.500 0.344
V3 0.500 0.500 0.168
W1 0.000 0.000 0.500
```

- Energy of formation from the pure elements: 0.1480 eV per atom

---

[2]
The following is a DFT calculation (PBE) of a relaxed structure of Al2V6W.

Cell and atoms, written as CIF:
```
data_Al2V6W
_space_group_name_H-M_alt 'P -3 1 m'
_space_group_IT_number 162
_space_group_name_Hall '-P 3 2'
_cell_length_a 7.5231
_cell_length_b 7.5231
_cell_length_c 2.6112
_cell_angle_alpha 90.00
_cell_angle_beta 90.00
_cell_angle_gamma 120.00
loop_
_atom_site_label
_atom_site_fract_x
_atom_site_fract_y
_atom_site_fract_z
Al1 0.3333 0.6667 0.0000
V1 0.0000 0.3306 0.6532
W1 0.0000 0.0000 0.0000
```

- Energy of formation from the pure elements: -0.0997 eV per atom
- Energy above the lowest structure with this stoichiometry: 0.000 eV per atom

---

[3]
The following is a DFT calculation (PBE) of a relaxed structure of Al2V6W3.

Cell and atoms, written as CIF:
```
data_Al2V6W3
_space_group_name_H-M_alt 'P -1'
_space_group_IT_number 2
_space_group_name_Hall '-P 1'
_cell_length_a 2.668
_cell_length_b 8.104
_cell_length_c 8.125
_cell_angle_alpha 66.98
_cell_angle_beta 88.27
_cell_angle_gamma 88.33
loop_
_atom_site_label
_atom_site_fract_x
_atom_site_fract_y
_atom_site_fract_z
Al1 0.001 0.272 0.228
V1 0.362 0.401 0.901
V2 0.383 0.425 0.409
V3 0.383 0.909 0.926
W1 0.022 0.213 0.714
W2 0.500 0.000 0.500
```

- Energy of formation from the pure elements: 0.1508 eV per atom

---

[4]
The following is a DFT calculation (PBE) of a relaxed structure of Al3V12W.

Cell and atoms, written as CIF:
```
data_Al3V12W
_space_group_name_H-M_alt 'P m m m'
_space_group_IT_number 47
_space_group_name_Hall '-P 2 2'
_cell_length_a 4.805
_cell_length_b 4.869
_cell_length_c 9.569
_cell_angle_alpha 90.00
_cell_angle_beta 90.00
_cell_angle_gamma 90.00
loop_
_atom_site_label
_atom_site_fract_x
_atom_site_fract_y
_atom_site_fract_z
Al1 0.000 0.000 0.000
Al2 0.500 0.500 0.249
V1 0.000 0.248 0.250
V2 0.239 0.500 0.000
V3 0.248 0.500 0.500
V4 0.500 0.000 0.124
V5 0.500 0.000 0.373
W1 0.000 0.000 0.500
```

- Energy of formation from the pure elements: -0.1186 eV per atom

---

[5]
The following is a DFT calculation (PBE) of a relaxed structure of AlV3W2.

Cell and atoms, written as CIF:
```
data_AlV3W2
_space_group_name_H-M_alt 'P 4/m m m'
_space_group_IT_number 123
_space_group_name_Hall '-P 4 2'
_cell_length_a 3.141
_cell_length_b 3.141
_cell_length_c 8.908
_cell_angle_alpha 90.00
_cell_angle_beta 90.00
_cell_angle_gamma 90.00
loop_
_atom_site_label
_atom_site_fract_x
_atom_site_fract_y
_atom_site_fract_z
Al1 0.000 0.000 0.000
V1 0.500 0.500 0.169
V2 0.500 0.500 0.500
W1 0.000 0.000 0.326
```

- Energy of formation from the pure elements: -0.1282 eV per atom

---

[6]
The following is a DFT calculation (PBE) of a relaxed structure of AlVZnW2.

Cell and atoms, written as CIF:
```
data_AlVZnW2
_space_group_name_H-M_alt 'P 4/m m m'
_space_group_IT_number 123
_space_group_name_Hall '-P 4 2'
_cell_length_a 4.522
_cell_length_b 4.522
_cell_length_c 4.661
_cell_angle_alpha 90.00
_cell_angle_beta 90.00
_cell_angle_gamma 90.00
loop_
_atom_site_label
_atom_site_fract_x
_atom_site_fract_y
_atom_site_fract_z
Al1 0.000 0.000 0.000
V1 0.000 0.000 0.500
Zn1 0.500 0.500 0.000
W1 0.000 0.500 0.500
```

- Energy of formation from the pure elements: 1.4477 eV per atom

---

[7]
The following is a DFT calculation (PBE) of a relaxed structure of AlVZnW.

Cell and atoms, written as CIF:
```
data_AlVZnW
_space_group_name_H-M_alt 'F -4 3 m'
_space_group_IT_number 216
_space_group_name_Hall 'F -4 2 3'
_cell_length_a 6.162
_cell_length_b 6.162
_cell_length_c 6.162
_cell_angle_alpha 90.00
_cell_angle_beta 90.00
_cell_angle_gamma 90.00
loop_
_atom_site_label
_atom_site_fract_x
_atom_site_fract_y
_atom_site_fract_z
Al1 0.000 0.000 0.000
V1 0.000 0.000 0.500
Zn1 0.250 0.250 0.250
W1 0.250 0.250 0.750
```

- Energy of formation from the pure elements: 0.0985 eV per atom

---

[8]
The following is a DFT calculation (PBE) of a relaxed structure of Zr2AlVW.

Cell and atoms, written as CIF:
```
data_Zr2AlVW
_space_group_name_H-M_alt 'P 4/m m m'
_space_group_IT_number 123
_space_group_name_Hall '-P 4 2'
_cell_length_a 4.916
_cell_length_b 4.916
_cell_length_c 4.431
_cell_angle_alpha 90.00
_cell_angle_beta 90.00
_cell_angle_gamma 90.00
loop_
_atom_site_label
_atom_site_fract_x
_atom_site_fract_y
_atom_site_fract_z
Zr1 0.000 0.500 0.000
Al1 0.000 0.000 0.500
V1 0.500 0.500 0.000
W1 0.500 0.500 0.500
```

- Energy of formation from the pure elements: 0.8427 eV per atom

---

[9]
The following is a DFT calculation (PBE) of a relaxed structure of YAl2V2.

Cell and atoms, written as CIF:
```
data_YAl2V2
_space_group_name_H-M_alt 'P 4/m b m'
_space_group_IT_number 127
_space_group_name_Hall '-P 4 2ab'
_cell_length_a 7.504
_cell_length_b 7.504
_cell_length_c 3.113
_cell_angle_alpha 90.00
_cell_angle_beta 90.00
_cell_angle_gamma 90.00
loop_
_atom_site_label
_atom_site_fract_x
_atom_site_fract_y
_atom_site_fract_z
Y1 0.000 0.000 0.000
Al1 0.122 0.378 0.000
V1 0.172 0.672 0.500
```

- Energy of formation from the pure elements: -0.0062 eV per atom
- Energy above the lowest structure with this stoichiometry: 0.101 eV per atom

---

[10]
The following is a DFT calculation (PBE) of a relaxed structure of YAlV.

Cell and atoms, written as CIF:
```
data_YAlV
_space_group_name_H-M_alt 'P -6 2 m'
_space_group_IT_number 189
_space_group_name_Hall 'P -6 -2'
_cell_length_a 6.8667
_cell_length_b 6.8667
_cell_length_c 4.5855
_cell_angle_alpha 90.00
_cell_angle_beta 90.00
_cell_angle_gamma 120.00
loop_
_atom_site_label
_atom_site_fract_x
_atom_site_fract_y
_atom_site_fract_z
Y1 0.0000 0.4315 0.0000
Al1 0.0000 0.0000 0.0000
Al2 0.3333 0.6667 0.5000
V1 0.0000 0.7993 0.5000
```

- Energy of formation from the pure elements: -0.0764 eV per atom

---

[11]
The following is a DFT calculation (PBE) of a relaxed structure of Y2AlV.

Cell and atoms, written as CIF:
```
data_Y2AlV
_space_group_name_H-M_alt 'I -4 2 d'
_space_group_IT_number 122
_space_group_name_Hall 'I -4 2bw'
_cell_length_a 8.041
_cell_length_b 8.041
_cell_length_c 6.034
_cell_angle_alpha 90.00
_cell_angle_beta 90.00
_cell_angle_gamma 90.00
loop_
_atom_site_label
_atom_site_fract_x
_atom_site_fract_y
_atom_site_fract_z
Y1 0.241 0.250 0.125
Al1 0.000 0.000 0.500
V1 0.000 0.000 0.000
```

- Energy of formation from the pure elements: 0.4821 eV per atom

---

[12]
The following is a DFT calculation (PBE) of a relaxed structure of YAl2V2.

Cell and atoms, written as CIF:
```
data_YAl2V2
_space_group_name_H-M_alt 'I 4/m m m'
_space_group_IT_number 139
_space_group_name_Hall '-I 4 2'
_cell_length_a 4.249
_cell_length_b 4.249
_cell_length_c 10.425
_cell_angle_alpha 90.00
_cell_angle_beta 90.00
_cell_angle_gamma 90.00
loop_
_atom_site_label
_atom_site_fract_x
_atom_site_fract_y
_atom_site_fract_z
Y1 0.000 0.000 0.000
Al1 0.000 0.500 0.250
V1 0.000 0.000 0.410
```

- Energy of formation from the pure elements: 0.0641 eV per atom
- Energy above the lowest structure with this stoichiometry: 0.171 eV per atom